Record 1
Crystalline Tc2NiAu at its relaxed geometry, computed with PBEsol.

abc: 9.086 2.689 4.579
angles: 90.00 100.40 90.00
Sites, in units of the cell vectors:
Tc: 0.244 0.000 0.234
Tc: 0.256 0.500 0.766
Tc: 0.744 0.500 0.234
Tc: 0.756 0.000 0.766
Ni: 0.000 0.500 0.000
Ni: 0.500 0.000 0.000
Au: 0.000 0.000 0.500
Au: 0.500 0.500 0.500

Properties
Polymorph energy (0 for the lowest one) = 0.26 kcal/mol of atoms
Density = 13.630 g/cm3
Formation energy = 225 meV per atom

Record 2
Crystalline TcNi6Au at its relaxed geometry, computed with PBEsol.

abc: 6.216 6.216 10.177
angles: 90.00 90.00 109.35
Sites, in units of the cell vectors:
Tc: 0.000 0.000 0.245
Tc: 0.000 0.000 0.755
Tc: 0.249 0.751 0.500
Tc: 0.751 0.249 0.500
Ni: 0.000 0.000 0.000
Ni: 0.000 0.000 0.500
Ni: 0.116 0.371 0.380
Ni: 0.116 0.371 0.620
Ni: 0.119 0.365 0.130
Ni: 0.119 0.365 0.870
Ni: 0.245 0.755 0.258
Ni: 0.245 0.755 0.742
Ni: 0.365 0.119 0.130
Ni: 0.365 0.119 0.870
Ni: 0.371 0.116 0.380
Ni: 0.371 0.116 0.620
Ni: 0.500 0.500 0.000
Ni: 0.500 0.500 0.500
Ni: 0.629 0.884 0.380
Ni: 0.629 0.884 0.620
Ni: 0.635 0.881 0.130
Ni: 0.635 0.881 0.870
Ni: 0.755 0.245 0.258
Ni: 0.755 0.245 0.742
Ni: 0.881 0.635 0.130
Ni: 0.881 0.635 0.870
Ni: 0.884 0.629 0.380
Ni: 0.884 0.629 0.620
Au: 0.254 0.746 0.000
Au: 0.500 0.500 0.252
Au: 0.500 0.500 0.748
Au: 0.746 0.254 0.000

Properties
Density = 11.586 g/cm3
Formation energy = 49 meV per atom

Record 3
Crystalline Tc2NiAu at its relaxed geometry, computed with PBEsol.

abc: 3.667 3.667 8.138
angles: 90.00 90.00 90.00
Sites, in units of the cell vectors:
Tc: 0.000 0.500 0.250
Tc: 0.000 0.500 0.750
Tc: 0.500 0.000 0.250
Tc: 0.500 0.000 0.750
Ni: 0.000 0.000 0.000
Ni: 0.500 0.500 0.500
Au: 0.000 0.000 0.500
Au: 0.500 0.500 0.000

Properties
Polymorph energy (0 for the lowest one) = 0.00 kcal/mol of atoms
Density = 13.706 g/cm3
Formation energy = 214 meV per atom

Record 4
Crystalline Tc2NiAu at its relaxed geometry, computed with PBEsol.

abc: 6.069 6.069 6.069
angles: 90.00 90.00 90.00
Sites, in units of the cell vectors:
Tc: 0.250 0.250 0.250
Tc: 0.250 0.250 0.750
Tc: 0.250 0.750 0.250
Tc: 0.250 0.750 0.750
Tc: 0.750 0.250 0.250
Tc: 0.750 0.250 0.750
Tc: 0.750 0.750 0.250
Tc: 0.750 0.750 0.750
Ni: 0.000 0.000 0.000
Ni: 0.000 0.500 0.500
Ni: 0.500 0.000 0.500
Ni: 0.500 0.500 0.000
Au: 0.000 0.000 0.500
Au: 0.000 0.500 0.000
Au: 0.500 0.000 0.000
Au: 0.500 0.500 0.500

Properties
Polymorph energy (0 for the lowest one) = 7.87 kcal/mol of atoms
Density = 13.419 g/cm3
Formation energy = 555 meV per atom

Record 5
Crystalline NiTe2Au at its relaxed geometry, computed with PBEsol.

abc: 4.957 4.957 3.217
angles: 90.00 90.00 90.00
Sites, in units of the cell vectors:
Ni: 0.000 0.000 0.000
Te: 0.000 0.500 0.500
Te: 0.500 0.000 0.500
Au: 0.500 0.500 0.000

Properties
ΔE_f (raw) = 0.386 eV/atom
Polymorph energy (0 for the lowest one) = 10.53 kcal/mol of atoms
Density = 10.731 g/cm3

Record 6
Crystalline NiTe2Au at its relaxed geometry, computed with PBEsol.

abc: 3.829 3.866 5.708
angles: 90.00 90.00 90.00
Sites, in units of the cell vectors:
Ni: 0.000 0.000 0.000
Te: 0.000 0.500 0.500
Te: 0.500 0.500 0.000
Au: 0.500 0.000 0.500

Properties
ΔE_f (raw) = 0.378 eV/atom
Polymorph energy (0 for the lowest one) = 10.34 kcal/mol of atoms
Density = 10.038 g/cm3